No. 1
A geometry-optimized BiMoH structure. Source: Alexandria via LeMat-Bulk, functional GGA-PBE.

Summary:
E   -5.835 eV per atom
D(E_F)   1.658 states/eV/f.u.
Mass density   10.2 g cm⁻³

abc: 3.273 3.298 10.776
angles: 90.03 98.68 119.59
Fractional coordinates of all 6 atoms:
Bi 0.000 0.000 0.000
Bi 0.087 0.544 0.639
Mo 0.277 0.138 0.421
Mo 0.476 0.735 0.218
H 0.593 0.793 0.396
H 0.819 0.404 0.234

=====

No. 2
A geometry-optimized Pu2GeBi structure. Source: Alexandria via LeMat-Bulk, functional GGA-PBE.

Summary:
D(E_F)   16.962 states/eV/f.u.
Distance to the lowest polymorph of the same formula   130 meV/atom
Formation enthalpy at 0 K   -0.97 eV per formula unit
Mass density   11.7 g cm⁻³

abc: 6.222 6.222 6.222
angles: 44.86 44.86 44.86
Fractional coordinates of all 4 atoms:
Pu 0.233 0.233 0.233
Pu 0.767 0.767 0.767
Ge 0.500 0.500 0.500
Bi 0.000 0.000 0.000

=====

No. 3
A geometry-optimized La3Mg4Au4 structure. Source: Alexandria via LeMat-Bulk, functional GGA-PBE.

Summary:
D(E_F)   9.425 states/eV/f.u.
Formation enthalpy at 0 K   -7.26 eV per formula unit
Mass density   8.0 g cm⁻³

abc: 9.014 9.014 9.014
angles: 152.91 125.44 61.96
Fractional coordinates of all 11 atoms:
La 0.000 0.000 0.000
La 0.384 0.884 0.500
La 0.616 0.116 0.500
Mg 0.016 0.324 0.691
Mg 0.367 0.676 0.691
Mg 0.633 0.324 0.309
Mg 0.984 0.676 0.309
Au 0.230 0.230 0.000
Au 0.294 0.500 0.794
Au 0.706 0.500 0.206
Au 0.770 0.770 0.000